Dy7PBr12 | the Alexandria database | PBE | relaxed; DFT total energy = -4.578 eV per atom; E_form (uncorrected) = -1693 meV/atom; magnetic moment = 0.000 μB/f.u.
1.0
8.7091 -0.2026 -2.6616
-3.5414 7.9591 -2.6616
-0.1350 -0.2026 9.1057
Br Dy P
12 7 1
Cartesian
3.4311 7.1284 -1.6615 Br
6.8257 2.1532 3.7578 Br
-0.0515 2.9534 2.8001 Br
1.6951 3.6064 -0.8281 Br
1.6016 0.4255 5.4440 Br
-1.7930 5.4008 0.0247 Br
3.3376 3.9475 4.6105 Br
-0.1342 5.9119 5.5116 Br
5.0842 4.6005 0.9824 Br
1.5797 6.4639 1.9240 Br
5.1670 1.6420 -1.7291 Br
3.4530 1.0900 1.8585 Br
4.2742 7.3947 1.2872 Dy
2.5164 3.7770 1.8912 Dy
2.3565 0.7613 -0.8333 Dy
2.6762 6.7926 4.6158 Dy
0.7585 0.1592 2.4953 Dy
5.8902 5.0860 3.7477 Dy
-0.8575 2.4679 0.0348 Dy
0.0000 0.0000 0.0000 P

Dy3PBr3 | the Alexandria database | PBE | relaxed; DFT total energy = -5.057 eV per atom; E_form (uncorrected) = -1595 meV/atom; magnetic moment = 0.000 μB/f.u.
1.0
6.5226 0.0000 2.0961
2.9245 5.8303 2.0961
-0.0490 -0.0302 11.3489
Br Dy P
6 6 2
Cartesian
7.4733 3.2764 6.6175 Br
4.0863 5.2110 5.9127 Br
1.9248 2.5236 8.9237 Br
5.3118 0.5890 9.6284 Br
5.0724 4.4839 10.3240 Br
4.3257 1.3162 5.2172 Br
6.7863 5.5515 4.8884 Dy
3.6912 3.5769 3.5021 Dy
2.6118 0.2485 10.6528 Dy
5.7069 2.2232 12.0391 Dy
2.3368 4.1044 11.3292 Dy
7.0613 1.6957 4.2120 Dy
6.2981 3.8868 2.7949 P
3.1001 1.9132 12.7463 P

Dy4P3Br | the Alexandria database | PBE | relaxed; DFT total energy = -6.089 eV per atom; E_form (uncorrected) = -1550 meV/atom; magnetic moment = 0.000 μB/f.u.
1.0
4.0101 -0.0499 0.0681
0.0511 6.7329 1.9400
-0.1140 0.3657 6.9966
Br P Dy
1 3 4
Cartesian
1.9165 3.7080 8.0005 Br
1.9479 0.1587 3.5323 P
3.9785 3.5001 4.5365 P
3.8959 0.3164 7.0647 P
3.9671 5.4395 6.6397 Dy
2.0144 5.1985 3.3411 Dy
1.9324 1.8515 5.6637 Dy
3.9900 1.5610 2.4329 Dy

DyPS4Br | the Alexandria database | PBE | relaxed; DFT total energy = -4.774 eV per atom; E_form (uncorrected) = -746 meV/atom; magnetic moment = 0.000 μB/f.u.
1.0
-3.6729 0.4602 -5.8218
-4.3979 -5.2599 0.7664
-6.5658 4.8126 3.4558
S P Dy Br
8 2 2 2
Cartesian
-11.1138 2.1135 -1.4585 S
-9.1510 -0.6942 -1.6098 S
-8.1763 1.4481 0.3574 S
-6.4603 -1.4351 -1.9570 S
-3.5228 -2.1005 -0.1411 S
-11.3719 0.0776 0.8863 S
-3.2647 -0.0647 -2.4859 S
-5.4856 0.7071 0.0102 S
-4.7346 -0.7309 -1.1556 P
-9.9020 0.7438 -0.4440 P
-7.7302 3.5844 2.2614 Dy
-6.9065 -3.5715 -3.8610 Dy
-1.5507 0.9194 0.6276 Br
-13.0859 -0.9065 -2.2272 Br